This record from Alexandria via LeMat-Bulk describes a relaxed NaGaTe2 crystal. The functional is PBE-GGA.

a = 7.560 Å, b = 4.315 Å, c = 8.748 Å
α = 90.00°, β = 96.09°, γ = 90.00°
Space group Pm (No. 6)
Symmetry-distinct sites (fractional):
Na: 0.000 0.000 0.000 x1
Na: 0.383 0.000 0.384 x1
Ga: 0.008 0.500 0.552 x1
Ga: 0.722 0.500 0.230 x1
Te: 0.086 0.500 0.256 x1
Te: 0.166 0.000 0.691 x1
Te: 0.596 0.000 0.067 x1
Te: 0.658 0.500 0.522 x1

Properties
The uncorrected formation energy is -0.552 eV per atom. Its magnetization is 0.000 Bohr magnetons per cell.